Entry 1:
This record from OQMD describes Ta4TlCoN2 after structural relaxation. The functional is PBE-GGA.

## Properties
**DFT total energy**: -76.512 eV per formula unit
**Volume**: 115 Å³ per cell

abc: 3.122 3.122 13.659
angles: 90.00 90.00 120.00
Sites, in units of the cell vectors:
1 N 0.333 0.667 0.771
2 Ta 0.000 0.000 0.318
3 N 0.333 0.667 0.229
4 Tl 0.667 0.333 0.500
5 Ta 0.667 0.333 0.139
6 Ta 0.000 0.000 0.682
7 Co 0.000 0.000 0.000
8 Ta 0.667 0.333 0.861


Entry 2:
This record from OQMD describes HgPbSeO after structural relaxation. The functional is PBE-GGA.

## Properties
**DFT total energy**: -13.291 eV per formula unit
**Offset from the most stable computed form**: 1.26 eV per formula unit
**Volume**: 210 Å³ per cell

abc: 5.235 5.235 7.651
angles: 90.00 90.00 90.00
Sites, in units of the cell vectors:
1 Hg 0.250 0.250 0.643
2 Se 0.750 0.250 0.500
3 O 0.250 0.250 0.925
4 O 0.750 0.750 0.075
5 Hg 0.750 0.750 0.357
6 Pb 0.250 0.250 0.194
7 Se 0.250 0.750 0.500
8 Pb 0.750 0.750 0.806


Entry 3:
This record from OQMD describes ErZn8Ni4 after structural relaxation. The functional is PBE-GGA.

## Properties
**DFT total energy**: -40.956 eV per formula unit
**ΔH_f (0 K)**: -308 meV/atom
**Volume**: 183 Å³ per cell

abc: 6.531 6.531 6.531
angles: 98.58 98.58 134.57
Sites, in units of the cell vectors:
1 Er 0.000 0.000 0.000
2 Zn 0.000 0.659 0.659
3 Ni 0.500 0.500 0.500
4 Ni 0.000 0.000 0.500
5 Zn 0.659 0.000 0.659
6 Ni 0.000 0.500 0.000
7 Zn 0.500 0.278 0.778
8 Zn 0.341 0.000 0.341
9 Zn 0.722 0.500 0.222
10 Zn 0.278 0.500 0.778
11 Ni 0.500 0.000 0.000
12 Zn 0.000 0.341 0.341
13 Zn 0.500 0.722 0.222


Entry 4:
This record from OQMD describes Er2In2O5 after structural relaxation. The functional is PBE-GGA.

## Properties
**DFT total energy**: -59.898 eV per formula unit
**Offset from the most stable computed form**: 0.00 eV per formula unit
**Volume**: 138 Å³ per cell

abc: 8.525 4.031 4.031
angles: 90.00 90.00 90.00
Sites, in units of the cell vectors:
1 O 0.845 0.000 0.500
2 O 0.155 0.000 0.500
3 O 0.155 0.500 0.000
4 O 0.845 0.500 0.000
5 In 0.500 0.000 0.000
6 Er 0.754 0.500 0.500
7 Er 0.246 0.500 0.500
8 O 0.500 0.500 0.500
9 In 0.000 0.000 0.000


Entry 5:
This record from OQMD describes Pr2Al2NiPd3 after structural relaxation. The functional is PBE-GGA.

## Properties
**DFT total energy**: -44.279 eV per formula unit
**Volume**: 161 Å³ per cell

abc: 4.376 4.376 9.728
angles: 90.00 90.00 120.00
Sites, in units of the cell vectors:
1 Pr 0.333 0.667 0.246
2 Pr 0.667 0.333 0.756
3 Pd 0.667 0.333 0.063
4 Pd 0.667 0.333 0.430
5 Ni 0.333 0.667 0.943
6 Al 0.000 0.000 0.993
7 Al 0.000 0.000 0.500
8 Pd 0.333 0.667 0.569


Entry 6:
This record from OQMD describes NbAlFeNi after structural relaxation. The functional is PBE-GGA.

## Properties
**DFT total energy**: -27.957 eV per formula unit
**Offset from the most stable computed form**: 1.11 eV per formula unit
**Volume**: 55 Å³ per cell

abc: 4.263 4.263 4.263
angles: 60.00 60.00 60.00
Sites, in units of the cell vectors:
1 Al 0.000 0.000 0.000
2 Ni 0.500 0.500 0.500
3 Fe 0.750 0.750 0.750
4 Nb 0.250 0.250 0.250


Look up the DFT total energy of the sixth one.
-27.957 eV per formula unit